Record 1
Pm6Bi2N: optimized geometry, PBE.

Geometry as CIF:
```
data_Pm6Bi2N
_chemical_formula_sum 'Pm12 Bi4 N2'
_space_group_name_H-M_alt 'A m m 2'
_space_group_IT_number 38
_cell_length_a 3.941
_cell_length_b 14.762
_cell_length_c 8.777
_cell_angle_alpha 90.00
_cell_angle_beta 90.00
_cell_angle_gamma 90.00
loop_
_space_group_symop_operation_xyz
'x,y,z'
'-x,-y,z'
'-x,y,z'
'x,-y,z'
'x,y+1/2,z+1/2'
'-x,-y+1/2,z+1/2'
'-x,y+1/2,z+1/2'
'x,-y+1/2,z+1/2'
loop_
_atom_site_label
_atom_site_type_symbol
_atom_site_fract_x
_atom_site_fract_y
_atom_site_fract_z
_atom_site_occupancy
Pm1 Pm 0.000 0.000 0.000 1
Pm2 Pm 0.000 0.108 0.654 1
Pm3 Pm 0.500 0.000 0.351 1
Pm4 Pm 0.500 0.202 0.963 1
Bi1 Bi 0.000 0.170 0.261 1
N1 N 0.500 0.000 0.839 1
```

Output
energy	-5.432	eV/atom
uncorrected formation energy	-0.477	eV/atom

Record 2
RbNaSr2As: optimized geometry, PBE.

Geometry as CIF:
```
data_RbNaSr2As
_chemical_formula_sum 'Rb1 Na1 Sr2 As1'
_space_group_name_H-M_alt 'P 4/m m m'
_space_group_IT_number 123
_space_group_name_Hall '-P 4 2'
_cell_length_a 6.081
_cell_length_b 6.081
_cell_length_c 6.899
_cell_angle_alpha 90.00
_cell_angle_beta 90.00
_cell_angle_gamma 90.00
loop_
_atom_site_label
_atom_site_type_symbol
_atom_site_fract_x
_atom_site_fract_y
_atom_site_fract_z
_atom_site_occupancy
Rb1 Rb 0.000 0.000 0.000 1
Na1 Na 0.500 0.500 0.000 1
Sr1 Sr 0.000 0.500 0.500 1
As1 As 0.000 0.000 0.500 1
```

Output
energy	-2.443	eV/atom
energy of formation	-0.38	eV per atom

Record 3
Hf12U3Sb5: optimized geometry, PBE.

Geometry as CIF:
```
data_Hf12U3Sb5
_chemical_formula_sum 'Hf96 U24 Sb40'
_space_group_name_H-M_alt 'I a -3 d'
_space_group_IT_number 230
_space_group_name_Hall '-I 4bd 2c 3'
_cell_length_a 16.667
_cell_length_b 16.667
_cell_length_c 16.667
_cell_angle_alpha 90.00
_cell_angle_beta 90.00
_cell_angle_gamma 90.00
loop_
_atom_site_label
_atom_site_type_symbol
_atom_site_fract_x
_atom_site_fract_y
_atom_site_fract_z
_atom_site_occupancy
Hf1 Hf 0.013 0.083 0.650 1
U1 U 0.000 0.250 0.125 1
Sb1 Sb 0.000 0.000 0.000 1
Sb2 Sb 0.000 0.250 0.375 1
```

Output
energy	-8.034	eV/atom
uncorrected formation energy	0.661	eV/atom

Record 4
Y2InAs: optimized geometry, PBE.

Geometry as CIF:
```
data_Y2InAs
_chemical_formula_sum 'Y6 In3 As3'
_space_group_name_H-M_alt 'R 3 m'
_space_group_IT_number 160
_space_group_name_Hall 'R 3 -2"'
_cell_length_a 3.9419
_cell_length_b 3.9419
_cell_length_c 25.9424
_cell_angle_alpha 90.00
_cell_angle_beta 90.00
_cell_angle_gamma 120.00
loop_
_atom_site_label
_atom_site_type_symbol
_atom_site_fract_x
_atom_site_fract_y
_atom_site_fract_z
_atom_site_occupancy
Y1 Y 0.0000 0.0000 0.0000 1
Y2 Y 0.0000 0.0000 0.2256 1
In1 In 0.0000 0.0000 0.7635 1
As1 As 0.0000 0.0000 0.4903 1
```

Output
energy	-5.399	eV/atom
energy of formation	-0.32	eV per atom

Record 5
Tb2Pm5Er2: optimized geometry, PBE.

Geometry as CIF:
```
data_Tb2Pm5Er2
_chemical_formula_sum 'Tb4 Pm10 Er4'
_space_group_name_H-M_alt 'C 1 2/m 1'
_space_group_IT_number 12
_cell_length_a 15.251
_cell_length_b 5.088
_cell_length_c 8.055
_cell_angle_alpha 90.00
_cell_angle_beta 108.46
_cell_angle_gamma 90.00
loop_
_space_group_symop_operation_xyz
'x,y,z'
'-x,-y,-z'
'-x,y,-z'
'x,-y,z'
'x+1/2,y+1/2,z'
'-x+1/2,-y+1/2,-z'
'-x+1/2,y+1/2,-z'
'x+1/2,-y+1/2,z'
loop_
_atom_site_label
_atom_site_type_symbol
_atom_site_fract_x
_atom_site_fract_y
_atom_site_fract_z
_atom_site_occupancy
Tb1 Tb 0.167 0.000 0.499 1
Pm1 Pm 0.000 0.500 0.500 1
Pm2 Pm 0.057 0.000 0.832 1
Pm3 Pm 0.113 0.500 0.166 1
Er1 Er 0.222 0.500 0.832 1
```

Output
energy	-4.664	eV/atom
energy of formation	0.02	eV per atom

Record 6
Sc2BeNi: optimized geometry, PBE.

Geometry as CIF:
```
data_Sc2BeNi
_chemical_formula_sum 'Sc4 Be2 Ni2'
_space_group_name_H-M_alt 'I -4 m 2'
_space_group_IT_number 119
_space_group_name_Hall 'I -4 -2'
_cell_length_a 3.832
_cell_length_b 3.832
_cell_length_c 8.661
_cell_angle_alpha 90.00
_cell_angle_beta 90.00
_cell_angle_gamma 90.00
loop_
_atom_site_label
_atom_site_type_symbol
_atom_site_fract_x
_atom_site_fract_y
_atom_site_fract_z
_atom_site_occupancy
Sc1 Sc 0.000 0.000 0.000 1
Sc2 Sc 0.000 0.500 0.250 1
Be1 Be 0.000 0.500 0.750 1
Ni1 Ni 0.000 0.000 0.500 1
```

Output
energy	-5.580	eV/atom
energy of formation	-0.04	eV per atom

Record 7
ZnTe2: optimized geometry, PBE.

Geometry as CIF:
```
data_ZnTe2
_chemical_formula_sum 'Zn2 Te4'
_space_group_name_H-M_alt 'I 4/m m m'
_space_group_IT_number 139
_space_group_name_Hall '-I 4 2'
_cell_length_a 3.223
_cell_length_b 3.223
_cell_length_c 16.080
_cell_angle_alpha 90.00
_cell_angle_beta 90.00
_cell_angle_gamma 90.00
loop_
_atom_site_label
_atom_site_type_symbol
_atom_site_fract_x
_atom_site_fract_y
_atom_site_fract_z
_atom_site_occupancy
Zn1 Zn 0.000 0.000 0.000 1
Te1 Te 0.000 0.000 0.368 1
```

Output
energy	-2.308	eV/atom
uncorrected formation energy	0.211	eV/atom

Record 8
BeAgOs2: optimized geometry, PBE.

Geometry as CIF:
```
data_BeAgOs2
_chemical_formula_sum 'Be1 Ag1 Os2'
_space_group_name_H-M_alt 'P 4/m m m'
_space_group_IT_number 123
_space_group_name_Hall '-P 4 2'
_cell_length_a 3.687
_cell_length_b 3.687
_cell_length_c 4.167
_cell_angle_alpha 90.00
_cell_angle_beta 90.00
_cell_angle_gamma 90.00
loop_
_atom_site_label
_atom_site_type_symbol
_atom_site_fract_x
_atom_site_fract_y
_atom_site_fract_z
_atom_site_occupancy
Be1 Be 0.000 0.000 0.000 1
Ag1 Ag 0.500 0.500 0.000 1
Os1 Os 0.000 0.500 0.500 1
```

Output
energy	-6.551	eV/atom
energy of formation	0.71	eV per atom